(1)
## Ba3Pm2TmTe6 (PBE)

Data for an optimized crystal structure of Ba3Pm2TmTe6.

Results
Energy relative to the elements, uncorrected (eV/f.u.): -18.46
Space group: No. 12
D(E_F) (states/eV/cell): 5.5
Electronic total energy (eV/atom): -4.754
Spin magnetization (μB per formula unit): 0.0

Cell: 7.993 7.993 8.279 Å, 99.28 99.28 119.90°
Atoms (fractional coordinates):
Ba  0.500  0.500  0.500
Ba  0.170  0.830  0.500
Ba  0.830  0.170  0.500
Pm  0.665  0.335  0.000
Pm  0.335  0.665  0.000
Te  0.750  0.750  0.221
Te  0.250  0.250  0.779
Te  0.072  0.397  0.217
Te  0.397  0.072  0.217
Te  0.603  0.928  0.783
Te  0.928  0.603  0.783
Tm  0.000  0.000  0.000

---

(2)
## TiFeB (PBE)

Data for an optimized crystal structure of TiFeB.

Results
Space group: No. 11
Distance to the lowest polymorph of the same formula (meV per atom): 0.0
D(E_F) (states/eV/cell): 4.3
Electronic total energy (eV/atom): -8.163
Spin magnetization (μB per formula unit): 0.0
Energy of formation (meV per atom): -484

Cell: 2.917 3.968 5.605 Å, 98.46 90.00 90.00°
Atoms (fractional coordinates):
B  0.250  0.867  0.973
B  0.750  0.133  0.027
Fe  0.250  0.329  0.832
Fe  0.750  0.671  0.168
Ti  0.250  0.219  0.358
Ti  0.750  0.781  0.642

---

(3)
## KRbCdTe (PBE)

Data for an optimized crystal structure of KRbCdTe.

Results
Energy relative to the elements, uncorrected (eV/f.u.): -2.46
Space group: No. 216
D(E_F) (states/eV/cell): 0.0
Electronic total energy (eV/atom): -2.146
Spin magnetization (μB per formula unit): 0.0

Cell: 6.079 6.079 6.079 Å, 60.00 60.00 60.00°
Atoms (fractional coordinates):
Rb  0.000  0.000  0.000
Te  0.750  0.750  0.750
K  0.500  0.500  0.500
Cd  0.250  0.250  0.250

---

(4)
## Al2NF (PBE)

Data for an optimized crystal structure of Al2NF.

Results
Energy relative to the elements, uncorrected (eV/f.u.): -3.79
Space group: No. 122
Distance to the lowest polymorph of the same formula (meV per atom): 0.0
D(E_F) (states/eV/cell): 2.4
Electronic total energy (eV/atom): -5.369
Spin magnetization (μB per formula unit): 0.0

Cell: 4.810 4.810 5.670 Å, 64.90 64.90 90.00°
Atoms (fractional coordinates):
F  0.000  0.000  0.000
F  0.750  0.250  0.500
Al  0.577  0.125  0.250
Al  0.875  0.827  0.750
Al  0.173  0.625  0.250
Al  0.375  0.423  0.750
N  0.500  0.500  0.000
N  0.250  0.750  0.500

---

(5)
## Y2MgH8 (PBE)

Data for an optimized crystal structure of Y2MgH8.

Results
Space group: No. 71
Electronic total energy (eV/atom): -4.228
Spin magnetization (μB per formula unit): 0.0

Cell: 3.703 4.765 6.246 Å, 112.42 107.24 90.00°
Atoms (fractional coordinates):
H  0.803  0.803  0.606
H  0.360  0.601  0.719
H  0.360  0.118  0.719
H  0.640  0.882  0.281
H  0.000  0.748  0.000
H  0.640  0.399  0.281
H  0.197  0.197  0.394
H  0.000  0.252  0.000
Y  0.829  0.329  0.657
Y  0.171  0.671  0.343
Mg  0.500  0.000  0.000

---

(6)
## Ho2ThMg3 (PBE)

Data for an optimized crystal structure of Ho2ThMg3.

Results
Space group: No. 123
D(E_F) (states/eV/cell): 7.6
Electronic total energy (eV/atom): -3.577
Spin magnetization (μB per formula unit): 0.0
Energy of formation (meV per atom): -18

Cell: 3.782 3.782 11.472 Å, 90.00 90.00 90.00°
Atoms (fractional coordinates):
Mg  0.000  0.000  0.000
Mg  0.000  0.000  0.676
Mg  0.000  0.000  0.324
Ho  0.500  0.500  0.835
Ho  0.500  0.500  0.165
Th  0.500  0.500  0.500

---

(7)
## FeSICl2 (PBE)

Data for an optimized crystal structure of FeSICl2.

Results
Energy relative to the elements, uncorrected (eV/f.u.): 4.43
Space group: No. 123
Distance to the lowest polymorph of the same formula (meV per atom): 810.3
D(E_F) (states/eV/cell): 9.0
Electronic total energy (eV/atom): -2.680
Spin magnetization (μB per formula unit): 3.8

Cell: 5.460 5.460 5.184 Å, 90.00 90.00 90.00°
Site moments in Bohr magnetons follow the coordinates.
Atoms (fractional coordinates):
I  0.000  0.000  0.000  -0.03
S  0.000  0.000  0.500  -0.05
Cl  0.500  0.000  0.000  0.01
Cl  0.000  0.500  0.000  0.01
Fe  0.500  0.500  0.500  3.43

---

(8)
## SbAuCl2 (PBE)

Data for an optimized crystal structure of SbAuCl2.

Results
Energy relative to the elements, uncorrected (eV/f.u.): -0.45
Space group: No. 166
Distance to the lowest polymorph of the same formula (meV per atom): 334.9
D(E_F) (states/eV/cell): 1.0
Electronic total energy (eV/atom): -2.885
Spin magnetization (μB per formula unit): 0.0

Cell: 9.573 9.573 9.573 Å, 20.74 20.74 20.74°
Atoms (fractional coordinates):
Cl  0.083  0.083  0.083
Cl  0.917  0.917  0.917
Sb  0.500  0.500  0.500
Au  0.000  0.000  0.000